# 1
A geometry-optimized Sm3WCl3O6 structure, computed with PBEsol.

Unit cell a=5.2624 b=9.1150 c=9.1150 alpha=120.00 beta=90.00 gamma=90.00
Last column: nearest neighbours and their distance in Å.
Atoms (fractional coordinates):
O1 0.9854 0.6369 0.4787  1 W 1.93
W1 0.2500 0.3333 0.6667  6 O 1.93
O2 0.5146 0.6369 0.4787  1 W 1.93
O3 0.9854 0.8418 0.3631  1 W 1.93
Cl1 0.2500 0.1905 0.9505  4 Sm 2.88-2.96, 4 O 2.98-2.99
Cl2 0.2500 0.0495 0.2400  4 Sm 2.88-2.96, 4 O 2.98-2.99
O4 0.5146 0.5213 0.1582  1 W 1.93
W2 0.7500 0.6667 0.3333  6 O 1.93
O5 0.5146 0.8418 0.3631  1 W 1.93
Sm1 0.7500 0.0914 0.4043  6 O 2.35-2.56
O6 0.4854 0.4787 0.8418  1 W 1.93
Cl3 0.7500 0.8095 0.0495  4 Sm 2.88-2.96, 4 O 2.98-2.99
O7 0.4854 0.3631 0.5213  1 W 1.93
O8 0.0146 0.3631 0.5213  1 W 1.93
O9 0.9854 0.5213 0.1582  1 W 1.93
Sm2 0.7500 0.5957 0.6871  6 O 2.35-2.56
Cl4 0.2500 0.7600 0.8095  4 Sm 2.88-2.96, 4 O 2.98-2.99
Sm3 0.2500 0.6871 0.0914  6 O 2.35-2.56
Cl5 0.7500 0.9505 0.7600  4 Sm 2.88-2.96, 4 O 2.98-2.99
Sm4 0.2500 0.9086 0.5957  6 O 2.35-2.56
Sm5 0.7500 0.3129 0.9086  6 O 2.35-2.56
Cl6 0.7500 0.2400 0.1905  4 Sm 2.88-2.96, 4 O 2.98-2.99
O10 0.4854 0.1582 0.6369  1 W 1.93
O11 0.0146 0.1582 0.6369  1 W 1.93
O12 0.0146 0.4787 0.8418  1 W 1.93
Sm6 0.2500 0.4043 0.3129  6 O 2.35-2.56

- Total magnetic moment: 0.00 μB/atom
- Formation energy (no corrections): -37.20 eV per formula unit
- VASP energy: -207.61 eV per cell

# 2
A geometry-optimized Sr4Cl6O structure, computed with PBEsol.

Unit cell a=7.1451 b=9.4047 c=9.4047 alpha=120.00 beta=90.00 gamma=90.00
Last column: nearest neighbours and their distance in Å.
Atoms (fractional coordinates):
Cl1 0.3923 0.5331 0.4669  5 Sr 2.96-3.26
Sr1 0.6729 0.6667 0.3333  1 O 2.34
Sr2 0.6056 0.1965 0.8035  1 O 2.35
Cl2 0.3923 0.5331 0.0662  5 Sr 2.96-3.26
O1 0.0010 0.6667 0.3333  4 Sr 2.34-2.35
Cl3 0.8923 0.4669 0.9338  5 Sr 2.96-3.26
Cl4 0.2135 0.1418 0.2835  4 Sr 2.94-3.13
Cl5 0.8923 0.4669 0.5331  5 Sr 2.96-3.26
Cl6 0.7135 0.8582 0.1418  4 Sr 2.94-3.13
Sr3 0.1729 0.3333 0.6667  1 O 2.34
Sr4 0.1056 0.3930 0.1965  1 O 2.35
Cl7 0.3923 0.9338 0.4669  5 Sr 2.96-3.26
Sr5 0.6056 0.6070 0.8035  1 O 2.35
Cl8 0.2135 0.7165 0.8582  4 Sr 2.94-3.13
Cl9 0.7135 0.8582 0.7165  4 Sr 2.94-3.13
Sr6 0.6056 0.1965 0.3930  1 O 2.35
Sr7 0.1056 0.8035 0.6070  1 O 2.35
Cl10 0.2135 0.1418 0.8582  4 Sr 2.94-3.13
Sr8 0.1056 0.8035 0.1965  1 O 2.35
O2 0.5010 0.3333 0.6667  4 Sr 2.34-2.35
Cl11 0.7135 0.2835 0.1418  4 Sr 2.94-3.13
Cl12 0.8923 0.0662 0.5331  5 Sr 2.96-3.26

- Total magnetic moment: 0.01 μB/atom
- Formation energy (no corrections): -28.49 eV per formula unit
- VASP energy: -106.30 eV per cell

# 3
A geometry-optimized SrCl2O structure, computed with PBEsol.

Unit cell a=4.8754 b=4.8754 c=4.8754 alpha=60.00 beta=60.00 gamma=60.00
Last column: nearest neighbours and their distance in Å.
Atoms (fractional coordinates):
Sr1 0.5000 0.5000 0.5000  8 Cl 2.99
O1 0.0000 0.0000 0.0000  8 Cl 2.99
Cl1 0.7500 0.7500 0.7500  4 O 2.99, 4 Sr 2.99
Cl2 0.2500 0.2500 0.2500  4 Sr 2.99, 4 O 2.99

- Total magnetic moment: 0.50 μB/atom
- Formation energy (no corrections): -4.47 eV per formula unit
- VASP energy: -15.58 eV per cell